[1]
The following is a DFT calculation (PBE) of crystalline Zr2Al5Cu at its relaxed geometry.

Cell and atoms, written as POSCAR:
```
Zr2Al5Cu
1.0
-1.522 3.393 6.980
1.522 -3.393 6.980
1.522 3.393 -6.980
Zr Al Cu
2 5 1
direct
0.218 0.218 0.000
0.782 0.782 0.000
0.000 0.000 0.000
0.179 0.397 0.782
0.386 0.603 0.782
0.614 0.397 0.218
0.821 0.603 0.218
0.500 0.000 0.500
```

Summary:
- volume (Å³/cell) = 144.1
- DFT total energy (eV/atom) = -5.111

---

[2]
The following is a DFT calculation (PBE) of crystalline Pr2AlF at its relaxed geometry.

Cell and atoms, written as POSCAR:
```
Pr2AlF
1.0
3.347 0.000 0.000
0.000 3.347 0.000
0.000 0.000 7.995
Pr Al F
2 1 1
direct
0.000 0.000 0.239
0.000 0.000 0.761
0.500 0.500 0.500
0.500 0.500 0.000
```

Summary:
- volume (Å³/cell) = 89.5
- formation energy from raw total energies (eV per atom) = -1.184
- DFT total energy (eV/atom) = -4.977

---

[3]
The following is a DFT calculation (PBE) of crystalline GeAsHPd2 at its relaxed geometry.

Cell and atoms, written as POSCAR:
```
GeAsHPd2
1.0
4.754 0.000 0.000
0.000 4.754 0.000
0.000 0.000 4.841
Ge As H Pd
1 1 1 2
direct
0.000 0.000 0.000
0.000 0.000 0.500
0.500 0.500 0.500
0.000 0.500 0.000
0.500 0.000 0.000
```

Summary:
- volume (Å³/cell) = 109.4
- DFT total energy (eV/atom) = -3.689

---

[4]
The following is a DFT calculation (PBE) of crystalline FePd2Se at its relaxed geometry.

Cell and atoms, written as POSCAR:
```
FePd2Se
1.0
-1.844 1.844 9.179
1.844 -1.844 9.179
1.844 1.844 -9.179
Fe Pd Se
2 4 2
direct
0.000 0.000 0.000
0.750 0.250 0.500
0.121 0.625 0.996
0.375 0.371 0.496
0.629 0.125 0.004
0.875 0.879 0.504
0.250 0.750 0.500
0.500 0.500 0.000
```

Summary:
- volume (Å³/cell) = 124.9
- formation energy from raw total energies (eV per atom) = 0.342
- DFT total energy (eV/atom) = -5.241

---

[5]
The following is a DFT calculation (PBE) of crystalline LaCe2Sc at its relaxed geometry.

Cell and atoms, written as POSCAR:
```
LaCe2Sc
1.0
4.812 0.000 0.000
0.000 4.812 0.000
0.000 0.000 5.074
La Ce Sc
1 2 1
direct
0.000 0.000 0.000
0.000 0.500 0.500
0.500 0.000 0.500
0.500 0.500 0.000
```

Summary:
- volume (Å³/cell) = 117.5
- DFT total energy (eV/atom) = -5.667

---

[6]
The following is a DFT calculation (PBE) of crystalline Na6MgTl3 at its relaxed geometry.

Cell and atoms, written as POSCAR:
```
Na6MgTl3
1.0
9.196 0.000 0.000
0.000 5.631 0.000
-3.354 0.000 11.243
Na Mg Tl
12 2 6
direct
0.013 0.250 0.163
0.014 0.750 0.346
0.200 0.250 0.967
0.204 0.750 0.636
0.404 0.250 0.762
0.405 0.750 0.433
0.595 0.250 0.567
0.596 0.750 0.238
0.796 0.250 0.364
0.800 0.750 0.033
0.986 0.250 0.654
0.987 0.750 0.837
0.415 0.750 0.940
0.585 0.250 0.060
0.202 0.250 0.455
0.215 0.750 0.131
0.408 0.250 0.260
0.592 0.750 0.740
0.785 0.250 0.869
0.798 0.750 0.545
```

Summary:
- volume (Å³/cell) = 582.2
- DFT total energy (eV/atom) = -1.724

---

[7]
The following is a DFT calculation (PBE) of crystalline ZrIr2Os at its relaxed geometry.

Cell and atoms, written as POSCAR:
```
ZrIr2Os
1.0
4.683 -1.436 0.000
4.683 1.436 0.000
-0.877 0.000 4.764
Zr Ir Os
1 2 1
direct
0.000 0.000 0.000
0.244 0.244 0.730
0.756 0.756 0.270
0.500 0.500 0.500
```

Summary:
- volume (Å³/cell) = 64.0
- DFT total energy (eV/atom) = -9.617

---

[8]
The following is a DFT calculation (PBE) of crystalline AcSnPt at its relaxed geometry.

Cell and atoms, written as POSCAR:
```
AcSnPt
1.0
0.000 3.531 3.531
3.531 0.000 3.531
3.531 3.531 0.000
Ac Sn Pt
1 1 1
direct
0.000 0.000 0.000
0.500 0.500 0.500
0.250 0.250 0.250
```

Summary:
- volume (Å³/cell) = 88.0
- DFT total energy (eV/atom) = -5.571

---

[9]
The following is a DFT calculation (PBE) of crystalline SiHg2N at its relaxed geometry.

Cell and atoms, written as POSCAR:
```
SiHg2N
1.0
0.000 3.292 3.292
3.292 0.000 3.292
3.292 3.292 0.000
Si Hg N
1 2 1
direct
0.000 0.000 0.000
0.250 0.250 0.250
0.750 0.750 0.750
0.500 0.500 0.500
```

Summary:
- volume (Å³/cell) = 71.4
- formation energy from raw total energies (eV per atom) = 1.410
- DFT total energy (eV/atom) = -2.178

---

[10]
The following is a DFT calculation (PBE) of crystalline SmErGaRu at its relaxed geometry.

Cell and atoms, written as POSCAR:
```
SmErGaRu
1.0
4.350 0.000 0.000
0.000 1.961 5.361
0.000 -1.961 5.361
Sm Er Ga Ru
1 1 1 1
direct
0.000 0.000 0.000
0.500 0.286 0.286
0.500 0.582 0.582
0.000 0.717 0.717
```

Summary:
- volume (Å³/cell) = 91.5
- DFT total energy (eV/atom) = -5.856

---

[11]
The following is a DFT calculation (PBE) of crystalline Sm6Tl2Ag at its relaxed geometry.

Cell and atoms, written as POSCAR:
```
Sm6Tl2Ag
1.0
8.175 -3.746 0.000
8.175 3.746 0.000
-1.638 0.000 4.943
Sm Tl Ag
6 2 1
direct
0.082 0.593 0.338
0.239 0.761 0.000
0.407 0.918 0.662
0.593 0.082 0.338
0.761 0.239 0.000
0.918 0.407 0.662
0.334 0.334 0.834
0.666 0.666 0.166
0.000 0.000 0.500
```

Summary:
- volume (Å³/cell) = 302.8
- DFT total energy (eV/atom) = -3.991

---

[12]
The following is a DFT calculation (PBE) of crystalline LaCu2P at its relaxed geometry.

Cell and atoms, written as POSCAR:
```
LaCu2P
1.0
-2.308 2.308 7.741
2.308 -2.308 7.741
2.308 2.308 -7.741
La Cu P
2 4 2
direct
0.375 0.625 0.750
0.625 0.375 0.250
0.000 0.000 0.000
0.000 0.000 0.500
0.000 0.500 0.000
0.500 0.000 0.500
0.125 0.875 0.250
0.875 0.125 0.750
```

Summary:
- volume (Å³/cell) = 164.9
- DFT total energy (eV/atom) = -5.068